AsOs4Pt: relaxed, PBE.

abc: 5.183 5.183 5.183
angles: 60.00 60.00 60.00
Fractional positions:
As 0.000 0.000 0.000
Os 0.127 0.624 0.624
Os 0.624 0.127 0.624
Os 0.624 0.624 0.127
Os 0.624 0.624 0.624
Pt 0.250 0.250 0.250

Values from the calculation:
DFT formation energy: 973 meV per atom
space group: F-43m
magnetic moment: 0.00 μB/f.u.
Fermi-level density of states: 8.98 states/eV/f.u.

***

Rb2CuBr3: relaxed, PBE.

abc: 13.383 4.490 13.756
angles: 90.00 90.00 90.00
Fractional positions:
Rb 0.012 0.250 0.176
Rb 0.175 0.250 0.523
Rb 0.325 0.750 0.023
Rb 0.488 0.750 0.676
Rb 0.512 0.250 0.324
Rb 0.675 0.250 0.977
Rb 0.825 0.750 0.477
Rb 0.988 0.750 0.824
Cu 0.244 0.750 0.310
Cu 0.256 0.250 0.810
Cu 0.744 0.750 0.190
Cu 0.756 0.250 0.690
Br 0.066 0.750 0.361
Br 0.138 0.250 0.947
Br 0.229 0.750 0.722
Br 0.271 0.250 0.222
Br 0.362 0.750 0.447
Br 0.434 0.250 0.861
Br 0.566 0.750 0.139
Br 0.638 0.250 0.553
Br 0.729 0.750 0.778
Br 0.771 0.250 0.278
Br 0.862 0.750 0.053
Br 0.934 0.250 0.639

Values from the calculation:
raw formation energy: -1252 meV per atom
space group: Pnma
magnetic moment: 0.10 μB/f.u.
Fermi-level density of states: 0.00 states/eV/f.u.

***

Ho4ZnTe2P: relaxed, PBE.

abc: 7.348 4.087 7.354
angles: 90.00 108.12 90.00
Fractional positions:
Ho 0.216 0.000 0.231
Ho 0.224 0.500 0.748
Ho 0.776 0.500 0.252
Ho 0.784 0.000 0.769
Zn 0.000 0.000 0.500
Te 0.500 0.000 0.000
Te 0.500 0.500 0.500
P 0.000 0.500 0.000

Values from the calculation:
raw formation energy: -1113 meV per atom
space group: P2/m
magnetic moment: 0.00 μB/f.u.
Fermi-level density of states: 5.60 states/eV/f.u.

***

SnTeIr: relaxed, PBE.

abc: 3.122 5.340 4.431
angles: 90.00 90.00 90.00
Fractional positions:
Sn 0.000 0.000 0.000
Te 0.500 0.500 0.372
Ir 0.500 0.000 0.511

Values from the calculation:
raw formation energy: 47 meV per atom
space group: Pmm2
magnetic moment: 0.00 μB/f.u.
Fermi-level density of states: 2.03 states/eV/f.u.

***

AlReRu2: relaxed, PBE.

abc: 4.546 4.546 2.825
angles: 90.00 90.00 102.05
Fractional positions:
Al 0.000 0.000 0.000
Re 0.500 0.500 0.000
Ru 0.000 0.500 0.500
Ru 0.500 0.000 0.500

Values from the calculation:
DFT formation energy: -126 meV per atom
space group: Cmmm
magnetic moment: 0.00 μB/f.u.
Fermi-level density of states: 5.21 states/eV/f.u.

***

Co3Br: relaxed, PBE.

abc: 7.372 7.372 7.372
angles: 24.09 24.09 24.09
Fractional positions:
Co 0.000 0.000 0.000
Co 0.260 0.260 0.260
Co 0.740 0.740 0.740
Br 0.500 0.500 0.500

Values from the calculation:
raw formation energy: 625 meV per atom
space group: R-3m
magnetic moment: 5.56 μB/f.u.
Fermi-level density of states: 4.81 states/eV/f.u.

***

TbPr2ScTe5: relaxed, PBE.

abc: 5.588 5.588 11.167
angles: 90.00 90.00 90.00
Fractional positions:
Tb 0.000 0.000 0.000
Pr 0.500 0.500 0.179
Pr 0.500 0.500 0.821
Sc 0.000 0.000 0.500
Te 0.000 0.000 0.262
Te 0.000 0.000 0.738
Te 0.000 0.500 0.000
Te 0.500 0.000 0.000
Te 0.500 0.500 0.500

Values from the calculation:
raw formation energy: -768 meV per atom
space group: P4/mmm
magnetic moment: 0.85 μB/f.u.
Fermi-level density of states: 6.15 states/eV/f.u.

***

Na3Sr2RuO6: relaxed, PBE.

abc: 6.044 6.044 5.880
angles: 99.29 99.29 120.79
Fractional positions:
Na 0.000 0.000 0.000
Na 0.358 0.642 0.000
Na 0.642 0.358 0.000
Sr 0.169 0.831 0.500
Sr 0.831 0.169 0.500
Ru 0.500 0.500 0.500
O 0.158 0.431 0.284
O 0.284 0.284 0.704
O 0.431 0.158 0.284
O 0.569 0.842 0.716
O 0.716 0.716 0.296
O 0.842 0.569 0.716

Values from the calculation:
raw formation energy: -1804 meV per atom
space group: C2/m
magnetic moment: 3.00 μB/f.u.

***

Ba2MgTl6Zn: relaxed, PBE.

abc: 7.699 7.800 7.813
angles: 90.23 119.29 119.54
Fractional positions:
Ba 0.000 0.211 0.289
Ba 0.000 0.789 0.711
Mg 0.500 0.000 0.500
Tl 0.011 0.280 0.781
Tl 0.411 0.701 0.200
Tl 0.500 0.256 0.243
Tl 0.500 0.744 0.757
Tl 0.589 0.299 0.800
Tl 0.989 0.720 0.219
Zn 0.500 0.500 0.000

Values from the calculation:
DFT formation energy: -110 meV per atom
space group: P-1
magnetic moment: 0.00 μB/f.u.
Fermi-level density of states: 3.58 states/eV/f.u.

***

Nb6AlV5: relaxed, PBE.

abc: 7.802 7.802 7.802
angles: 146.80 131.46 60.08
Fractional positions:
Nb 0.077 0.331 0.746
Nb 0.237 0.000 0.237
Nb 0.415 0.669 0.746
Nb 0.585 0.331 0.254
Nb 0.763 0.000 0.763
Nb 0.923 0.669 0.254
Al 0.500 0.500 0.000
V 0.000 0.500 0.500
V 0.168 0.168 0.000
V 0.339 0.839 0.500
V 0.661 0.161 0.500
V 0.832 0.832 0.000

Values from the calculation:
DFT formation energy: -9 meV per atom
space group: Immm
magnetic moment: 0.01 μB/f.u.
Fermi-level density of states: 19.76 states/eV/f.u.

***

Ce3Dy2YSb6: relaxed, PBE.

abc: 7.699 7.699 7.692
angles: 99.61 99.61 119.99
Fractional positions:
Ce 0.000 0.000 0.000
Ce 0.333 0.667 0.000
Ce 0.667 0.333 0.000
Dy 0.167 0.833 0.500
Dy 0.833 0.167 0.500
Y 0.500 0.500 0.500
Sb 0.085 0.419 0.256
Sb 0.248 0.248 0.744
Sb 0.419 0.085 0.256
Sb 0.581 0.915 0.744
Sb 0.752 0.752 0.256
Sb 0.915 0.581 0.744

Values from the calculation:
raw formation energy: -1095 meV per atom
space group: C2/m
magnetic moment: 2.40 μB/f.u.
Fermi-level density of states: 19.85 states/eV/f.u.

***

LiAcEuAu: relaxed, PBE.

abc: 5.476 5.476 5.476
angles: 60.00 60.00 60.00
Fractional positions:
Li 0.000 0.000 0.000
Ac 0.250 0.250 0.250
Eu 0.750 0.750 0.750
Au 0.500 0.500 0.500

Values from the calculation:
DFT formation energy: -359 meV per atom
space group: F-43m
magnetic moment: 7.17 μB/f.u.
Fermi-level density of states: 7.77 states/eV/f.u.

***

- The highest magnetic moment belongs to which entry?
  LiAcEuAu

***

- Which formula does entry 10 have?
  Nb6AlV5

***

- Which value of magnetic moment does entry 2 give?
  0.10 μB/f.u.